(1)
Entry from Alexandria via LeMat-Bulk: a geometry-optimized LiHfIrAu structure (PBE).

Cell: 4.5399 4.5399 4.5399 Å, 60.00 60.00 60.00°
Closest atoms and distances in Å follow each position.
Positions (direct):
Au1 0.2500 0.2500 0.2500  4 Hf 2.78, 4 Li 2.78
Hf1 0.5000 0.5000 0.5000  4 Ir 2.78, 4 Au 2.78
Li1 0.0000 0.0000 0.0000  4 Ir 2.78, 4 Au 2.78
Ir1 0.7500 0.7500 0.7500  4 Hf 2.78, 4 Li 2.78

Output
- Calculated formation energy: -12.84 kcal/mol of atoms
- Calculated total energy: -6.56 eV/atom


(2)
Entry from Alexandria via LeMat-Bulk: a geometry-optimized Hf2MnIrAu structure (PBE).

Cell: 4.9756 4.8841 4.9756 Å, 90.00 90.00 90.00°
Closest atoms and distances in Å follow each position.
Positions (direct):
Mn1 0.5000 0.5000 0.5000  8 Hf 3.49, 4 Ir 3.52
Ir1 0.0000 0.5000 0.0000  2 Au 2.44
Hf1 0.0000 0.0000 0.5000  2 Au 2.49
Hf2 0.5000 0.0000 0.0000  2 Au 2.49
Au1 0.0000 0.0000 0.0000  2 Ir 2.44, 4 Hf 2.49

Output
- Calculated formation energy: 37.45 kcal/mol of atoms
- Calculated total energy: -6.62 eV/atom


(3)
Entry from Alexandria via LeMat-Bulk: a geometry-optimized HfMo2IrAu structure (PBE).

Cell: 4.7686 4.9530 4.7686 Å, 90.00 90.00 90.00°
Closest atoms and distances in Å follow each position.
Positions (direct):
Hf1 0.0000 0.5000 0.0000  2 Au 2.48
Mo1 0.0000 0.0000 0.5000  2 Au 2.38
Mo2 0.5000 0.0000 0.0000  2 Au 2.38
Ir1 0.5000 0.5000 0.5000  4 Hf 3.37, 8 Mo 3.44
Au1 0.0000 0.0000 0.0000  4 Mo 2.38, 2 Hf 2.48

Output
- Calculated formation energy: 45.25 kcal/mol of atoms
- Calculated total energy: -6.79 eV/atom


(4)
Entry from Alexandria via LeMat-Bulk: a geometry-optimized Hf2NbIrAu structure (PBE).

Cell: 4.9963 4.8731 4.9963 Å, 90.00 90.00 90.00°
Closest atoms and distances in Å follow each position.
Positions (direct):
Hf1 0.5000 0.0000 0.0000  2 Au 2.50
Hf2 0.0000 0.0000 0.5000  2 Au 2.50
Nb1 0.0000 0.5000 0.0000  2 Au 2.44
Ir1 0.5000 0.5000 0.5000  8 Hf 3.49, 4 Nb 3.53
Au1 0.0000 0.0000 0.0000  2 Nb 2.44, 4 Hf 2.50

Output
- Calculated formation energy: 28.77 kcal/mol of atoms
- Calculated total energy: -7.18 eV/atom


(5)
Entry from Alexandria via LeMat-Bulk: a geometry-optimized Hf2NiIrAu structure (PBE).

Cell: 4.9336 4.5881 4.9336 Å, 90.00 90.00 90.00°
Closest atoms and distances in Å follow each position.
Positions (direct):
Ni1 0.0000 0.5000 0.0000  2 Ir 2.29
Au1 0.5000 0.5000 0.5000  8 Hf 3.37, 4 Ni 3.49
Hf1 0.5000 0.0000 0.0000  2 Ir 2.47
Hf2 0.0000 0.0000 0.5000  2 Ir 2.47
Ir1 0.0000 0.0000 0.0000  2 Ni 2.29, 4 Hf 2.47

Output
- Calculated formation energy: 7.34 kcal/mol of atoms
- Calculated total energy: -7.25 eV/atom


(6)
Entry from Alexandria via LeMat-Bulk: a geometry-optimized HfIrPdAu structure (PBE).

Cell: 4.5795 4.5795 4.5795 Å, 60.00 60.00 60.00°
Closest atoms and distances in Å follow each position.
Positions (direct):
Ir1 0.0000 0.0000 0.0000  4 Hf 2.80, 4 Au 2.80
Au1 0.7500 0.7500 0.7500  4 Pd 2.80, 4 Ir 2.80
Pd1 0.5000 0.5000 0.5000  4 Au 2.80, 4 Hf 2.80
Hf1 0.2500 0.2500 0.2500  4 Ir 2.80, 4 Pd 2.80

Output
- Calculated formation energy: -12.20 kcal/mol of atoms
- Calculated total energy: -7.35 eV/atom